# Be2CdAs | Alexandria | PBE | optimized geometry
# - Relative energy among the computed polymorphs: 402 meV/atom
# - Formation energy: 0.601 eV/atom
# - Electronic total energy: -21.2 eV/cell
# - Size of the total moment: 0.0 Bohr magnetons per cell
# - Space group: No. 139
data_Be2CdAs
_chemical_formula_sum 'Be4 Cd2 As2'
_cell_length_a 4.0237
_cell_length_b 4.0237
_cell_length_c 7.5667
_cell_angle_alpha 90.00
_cell_angle_beta 90.00
_cell_angle_gamma 90.00
_symmetry_space_group_name_H-M 'P 1'
_symmetry_Int_Tables_number 1
loop_
_symmetry_equiv_pos_as_xyz
'x,y,z'
loop_
_atom_site_label
_atom_site_type_symbol
_atom_site_fract_x
_atom_site_fract_y
_atom_site_fract_z
_atom_site_occupancy
Be1 Be 0.0000 0.5000 0.2500 1
Be2 Be 0.0000 0.5000 0.7500 1
Be3 Be 0.5000 0.0000 0.2500 1
Be4 Be 0.5000 0.0000 0.7500 1
Cd1 Cd 0.0000 0.0000 0.0000 1
Cd2 Cd 0.5000 0.5000 0.5000 1
As1 As 0.0000 0.0000 0.5000 1
As2 As 0.5000 0.5000 0.0000 1



# Cs3Si23 | Alexandria | PBE | optimized geometry
# - ΔE_f (raw): 0.01 eV/atom
# - Electronic total energy: -254.1 eV/cell
# - Size of the total moment: 0.0 Bohr magnetons per cell
# - Space group: No. 223
data_Cs3Si23
_chemical_formula_sum 'Cs6 Si46'
_cell_length_a 10.3774
_cell_length_b 10.3774
_cell_length_c 10.3774
_cell_angle_alpha 90.00
_cell_angle_beta 90.00
_cell_angle_gamma 90.00
_symmetry_space_group_name_H-M 'P 1'
_symmetry_Int_Tables_number 1
loop_
_symmetry_equiv_pos_as_xyz
'x,y,z'
loop_
_atom_site_label
_atom_site_type_symbol
_atom_site_fract_x
_atom_site_fract_y
_atom_site_fract_z
_atom_site_occupancy
Cs1 Cs 0.0000 0.2500 0.5000 1
Cs2 Cs 0.0000 0.7500 0.5000 1
Cs3 Cs 0.2500 0.5000 0.0000 1
Cs4 Cs 0.5000 0.0000 0.2500 1
Cs5 Cs 0.5000 0.0000 0.7500 1
Cs6 Cs 0.7500 0.5000 0.0000 1
Si1 Si 0.0000 0.3031 0.1196 1
Si2 Si 0.0000 0.3031 0.8804 1
Si3 Si 0.0000 0.5000 0.2500 1
Si4 Si 0.0000 0.5000 0.7500 1
Si5 Si 0.0000 0.6969 0.1196 1
Si6 Si 0.0000 0.6969 0.8804 1
Si7 Si 0.1196 0.0000 0.3031 1
Si8 Si 0.1196 0.0000 0.6969 1
Si9 Si 0.1837 0.1837 0.1837 1
Si10 Si 0.1837 0.1837 0.8163 1
Si11 Si 0.1837 0.8163 0.1837 1
Si12 Si 0.1837 0.8163 0.8163 1
Si13 Si 0.1969 0.5000 0.3804 1
Si14 Si 0.1969 0.5000 0.6196 1
Si15 Si 0.2500 0.0000 0.5000 1
Si16 Si 0.3031 0.1196 0.0000 1
Si17 Si 0.3031 0.8804 0.0000 1
Si18 Si 0.3163 0.3163 0.3163 1
Si19 Si 0.3163 0.3163 0.6837 1
Si20 Si 0.3163 0.6837 0.3163 1
Si21 Si 0.3163 0.6837 0.6837 1
Si22 Si 0.3804 0.1969 0.5000 1
Si23 Si 0.3804 0.8031 0.5000 1
Si24 Si 0.5000 0.2500 0.0000 1
Si25 Si 0.5000 0.3804 0.1969 1
Si26 Si 0.5000 0.3804 0.8031 1
Si27 Si 0.5000 0.6196 0.1969 1
Si28 Si 0.5000 0.6196 0.8031 1
Si29 Si 0.5000 0.7500 0.0000 1
Si30 Si 0.6196 0.1969 0.5000 1
Si31 Si 0.6196 0.8031 0.5000 1
Si32 Si 0.6837 0.3163 0.3163 1
Si33 Si 0.6837 0.3163 0.6837 1
Si34 Si 0.6837 0.6837 0.3163 1
Si35 Si 0.6837 0.6837 0.6837 1
Si36 Si 0.6969 0.1196 0.0000 1
Si37 Si 0.6969 0.8804 0.0000 1
Si38 Si 0.7500 0.0000 0.5000 1
Si39 Si 0.8031 0.5000 0.3804 1
Si40 Si 0.8031 0.5000 0.6196 1
Si41 Si 0.8163 0.1837 0.1837 1
Si42 Si 0.8163 0.1837 0.8163 1
Si43 Si 0.8163 0.8163 0.1837 1
Si44 Si 0.8163 0.8163 0.8163 1
Si45 Si 0.8804 0.0000 0.3031 1
Si46 Si 0.8804 0.0000 0.6969 1



# VMoIrRu | Alexandria | PBE | optimized geometry
# - Relative energy among the computed polymorphs: 255 meV/atom
# - Formation energy: 0.047 eV/atom
# - Electronic total energy: -151.6 eV/cell
# - Size of the total moment: 4.4 Bohr magnetons per cell
# - Space group: No. 216
data_VMoIrRu
_chemical_formula_sum 'V4 Mo4 Ir4 Ru4'
_cell_length_a 6.1594
_cell_length_b 6.1594
_cell_length_c 6.1594
_cell_angle_alpha 90.00
_cell_angle_beta 90.00
_cell_angle_gamma 90.00
_symmetry_space_group_name_H-M 'P 1'
_symmetry_Int_Tables_number 1
loop_
_symmetry_equiv_pos_as_xyz
'x,y,z'
loop_
_atom_site_label
_atom_site_type_symbol
_atom_site_fract_x
_atom_site_fract_y
_atom_site_fract_z
_atom_site_occupancy
V1 V 0.0000 0.0000 0.0000 1
V2 V 0.0000 0.5000 0.5000 1
V3 V 0.5000 0.0000 0.5000 1
V4 V 0.5000 0.5000 0.0000 1
Mo1 Mo 0.2500 0.2500 0.7500 1
Mo2 Mo 0.2500 0.7500 0.2500 1
Mo3 Mo 0.7500 0.2500 0.2500 1
Mo4 Mo 0.7500 0.7500 0.7500 1
Ir1 Ir 0.2500 0.2500 0.2500 1
Ir2 Ir 0.2500 0.7500 0.7500 1
Ir3 Ir 0.7500 0.2500 0.7500 1
Ir4 Ir 0.7500 0.7500 0.2500 1
Ru1 Ru 0.0000 0.0000 0.5000 1
Ru2 Ru 0.0000 0.5000 0.0000 1
Ru3 Ru 0.5000 0.0000 0.0000 1
Ru4 Ru 0.5000 0.5000 0.5000 1